VASP calculation (PBE-GGA) on crystalline Li2Ca6Hg at its relaxed geometry.

Computed properties:
Final energy = -1.909 eV/atom
Relative energy among the computed polymorphs = 8 meV/atom
DFT formation energy = -0.116 eV per atom
Magnetic moment = 0.00 μB/atom
Calculated volume = 33.81 Å³ per atom

Geometry as CIF:
```
data_Li2Ca6Hg
_chemical_formula_sum 'Li4 Ca12 Hg2'
_symmetry_space_group_name_H-M 'P n n m'
_symmetry_Int_Tables_number 58
_symmetry_space_group_name_Hall '-P 2 2n'
_cell_length_a 10.491
_cell_length_b 10.501
_cell_length_c 5.524
_cell_angle_alpha 90.00
_cell_angle_beta 90.00
_cell_angle_gamma 90.00
loop_
_atom_site_label
_atom_site_fract_x
_atom_site_fract_y
_atom_site_fract_z
Li1 0.201 0.203 0.000
Ca1 0.027 0.309 0.500
Ca2 0.120 0.882 0.000
Ca3 0.191 0.529 0.000
Hg1 0.000 0.000 0.500
```

=====

VASP calculation (PBE-GGA) on crystalline BeTc2Ru at its relaxed geometry.

Computed properties:
Final energy = -8.422 eV/atom
DFT formation energy = 0.011 eV per atom
Magnetic moment = 0.00 μB/atom
Calculated volume = 13.27 Å³ per atom

Geometry as CIF:
```
data_BeTc2Ru
_chemical_formula_sum 'Be1 Tc2 Ru1'
_symmetry_space_group_name_H-M 'P m m 2'
_symmetry_Int_Tables_number 25
_symmetry_space_group_name_Hall 'P 2 -2'
_cell_length_a 2.742
_cell_length_b 4.193
_cell_length_c 4.618
_cell_angle_alpha 90.00
_cell_angle_beta 90.00
_cell_angle_gamma 90.00
loop_
_atom_site_label
_atom_site_fract_x
_atom_site_fract_y
_atom_site_fract_z
Be1 0.000 0.000 0.000
Tc1 0.500 0.000 0.476
Tc2 0.500 0.500 0.165
Ru1 0.000 0.500 0.692
```

=====

VASP calculation (PBE-GGA) on crystalline TbGdZr at its relaxed geometry.

Computed properties:
Final energy = -8.953 eV/atom
Relative energy among the computed polymorphs = 48 meV/atom
DFT formation energy = 0.133 eV per atom
Magnetic moment = 2.20 μB/atom
Calculated volume = 28.28 Å³ per atom

Geometry as CIF:
```
data_TbGdZr
_chemical_formula_sum 'Tb1 Gd1 Zr1'
_symmetry_space_group_name_H-M 'P -6 m 2'
_symmetry_Int_Tables_number 187
_symmetry_space_group_name_Hall 'P -6 2'
_cell_length_a 5.3904
_cell_length_b 5.3904
_cell_length_c 3.3709
_cell_angle_alpha 90.00
_cell_angle_beta 90.00
_cell_angle_gamma 120.00
loop_
_atom_site_label
_atom_site_fract_x
_atom_site_fract_y
_atom_site_fract_z
Tb1 0.0000 0.0000 0.0000
Gd1 0.6667 0.3333 0.5000
Zr1 0.3333 0.6667 0.5000
```

=====

VASP calculation (PBE-GGA) on crystalline Cu2Ni2Mo at its relaxed geometry.

Computed properties:
Final energy = -5.903 eV/atom
Relative energy among the computed polymorphs = 13 meV/atom
DFT formation energy = 0.214 eV per atom
Magnetic moment = 0.00 μB/atom
Calculated volume = 12.34 Å³ per atom

Geometry as CIF:
```
data_Cu2Ni2Mo
_chemical_formula_sum 'Cu4 Ni4 Mo2'
_symmetry_space_group_name_H-M 'P 4/m b m'
_symmetry_Int_Tables_number 127
_symmetry_space_group_name_Hall '-P 4 2ab'
_cell_length_a 6.883
_cell_length_b 6.883
_cell_length_c 2.604
_cell_angle_alpha 90.00
_cell_angle_beta 90.00
_cell_angle_gamma 90.00
loop_
_atom_site_label
_atom_site_fract_x
_atom_site_fract_y
_atom_site_fract_z
Cu1 0.172 0.328 0.000
Ni1 0.125 0.625 0.500
Mo1 0.000 0.000 0.500
```

=====

VASP calculation (PBE-GGA) on crystalline Sr4MnSb at its relaxed geometry.

Computed properties:
Final energy = -2.794 eV/atom
Magnetic moment = 0.59 μB/atom
Calculated volume = 40.77 Å³ per atom
Raw formation energy = 52.30 kJ per mole of atoms

Geometry as CIF:
```
data_Sr4MnSb
_chemical_formula_sum 'Sr16 Mn4 Sb4'
_symmetry_space_group_name_H-M 'F -4 3 m'
_symmetry_Int_Tables_number 216
_symmetry_space_group_name_Hall 'F -4 2 3'
_cell_length_a 9.928
_cell_length_b 9.928
_cell_length_c 9.928
_cell_angle_alpha 90.00
_cell_angle_beta 90.00
_cell_angle_gamma 90.00
loop_
_atom_site_label
_atom_site_fract_x
_atom_site_fract_y
_atom_site_fract_z
Sr1 0.125 0.125 0.125
Mn1 0.250 0.250 0.750
Sb1 0.000 0.000 0.500
```

=====

VASP calculation (PBE-GGA) on crystalline CdSiBr2 at its relaxed geometry.

Computed properties:
Final energy = -2.251 eV/atom
Relative energy among the computed polymorphs = 336 meV/atom
Magnetic moment = 0.00 μB/atom
Calculated volume = 26.18 Å³ per atom
Raw formation energy = 16.39 kJ per mole of atoms

Geometry as CIF:
```
data_CdSiBr2
_chemical_formula_sum 'Cd1 Si1 Br2'
_symmetry_space_group_name_H-M 'P m m m'
_symmetry_Int_Tables_number 47
_symmetry_space_group_name_Hall '-P 2 2'
_cell_length_a 3.635
_cell_length_b 4.469
_cell_length_c 6.447
_cell_angle_alpha 90.00
_cell_angle_beta 90.00
_cell_angle_gamma 90.00
loop_
_atom_site_label
_atom_site_fract_x
_atom_site_fract_y
_atom_site_fract_z
Cd1 0.000 0.000 0.000
Si1 0.500 0.000 0.500
Br1 0.000 0.500 0.500
Br2 0.500 0.500 0.000
```

=====

VASP calculation (PBE-GGA) on crystalline ThPaGa at its relaxed geometry.

Computed properties:
Final energy = -6.592 eV/atom
Relative energy among the computed polymorphs = 119 meV/atom
DFT formation energy = 0.055 eV per atom
Magnetic moment = 0.00 μB/atom
Calculated volume = 27.11 Å³ per atom

Geometry as CIF:
```
data_ThPaGa
_chemical_formula_sum 'Th4 Pa4 Ga4'
_symmetry_space_group_name_H-M 'C 1 2/m 1'
_symmetry_Int_Tables_number 12
_symmetry_space_group_name_Hall '-C 2y'
_cell_length_a 7.036
_cell_length_b 4.073
_cell_length_c 11.599
_cell_angle_alpha 90.00
_cell_angle_beta 101.78
_cell_angle_gamma 90.00
loop_
_atom_site_label
_atom_site_fract_x
_atom_site_fract_y
_atom_site_fract_z
Th1 0.067 0.000 0.201
Pa1 0.188 0.000 0.563
Ga1 0.160 0.500 0.979
```